Entry 1:
# SrPrBi2

An optimized crystal structure of SrPrBi2 (PBE, Alexandria via LeMat-Bulk).

```
SrPrBi2
1.0
2.4428 1.4103 7.5680
-2.4428 1.4103 7.5680
0.0000 -2.8207 7.5680
Sr Pr Bi
1 1 2
Cartesian
0.0000 0.0000 0.0000 Sr
0.0000 0.0000 3.9424 Pr
0.0000 0.0000 9.6533 Bi
0.0000 0.0000 13.1701 Bi
```

Output
* VASP energy: -17.099 eV for the cell shown
* energy above the lowest structure with this stoichiometry: 84 meV/atom
* DOS(E_F): 1.051 states/eV per atom
* symmetry: R3m (160)
* energy of formation from the pure elements: -0.7189 eV/atom
* calculated density: 6.9 g cm⁻³



Entry 2:
# CaLaPm3

An optimized crystal structure of CaLaPm3 (PBE, Alexandria via LeMat-Bulk).

```
CaLaPm3
1.0
2.7564 -5.7710 0.0000
2.7564 5.7710 0.0000
0.0000 0.0000 11.4853
Ca La Pm
2 2 6
Cartesian
2.7564 3.9653 0.0000 Ca
2.7564 -3.9653 0.0000 Ca
2.7564 1.5702 5.7427 La
2.7564 -1.5702 5.7427 La
2.7564 4.0083 3.4947 Pm
2.7564 4.0083 7.9906 Pm
2.7564 0.0000 2.0881 Pm
2.7564 0.0000 9.3973 Pm
2.7564 -4.0083 3.4947 Pm
2.7564 -4.0083 7.9906 Pm
```

Output
* VASP energy: -40.682 eV for the cell shown
* energy above the lowest structure with this stoichiometry: 0 meV/atom
* DOS(E_F): 1.550 states/eV per atom
* symmetry: Cmmm (65)
* energy of formation from the pure elements: 0.1680 eV/atom
* calculated density: 5.6 g cm⁻³



Entry 3:
# LiReRh2

An optimized crystal structure of LiReRh2 (PBE, Alexandria via LeMat-Bulk).

```
LiReRh2
1.0
4.5065 -1.3619 0.0000
4.5065 1.3619 0.0000
-0.7167 0.0000 4.5530
Li Re Rh
1 1 2
Cartesian
0.0000 0.0000 0.0000 Li
6.6895 0.0000 1.4428 Re
1.6429 0.0000 3.7679 Rh
4.2513 0.0000 2.2870 Rh
```

Output
* VASP energy: -29.294 eV for the cell shown
* DOS(E_F): 0.695 states/eV per atom
* symmetry: Cm (8)
* energy of formation from the pure elements: -0.0572 eV/atom
* calculated density: 11.9 g cm⁻³



Entry 4:
# BaAlO2F

An optimized crystal structure of BaAlO2F (PBE, Alexandria via LeMat-Bulk).

```
BaAlO2F
1.0
4.5855 0.0000 0.0000
0.0000 4.5855 0.0000
0.0000 0.0000 5.1018
Ba Al O F
1 1 2 1
Cartesian
0.0000 0.0000 0.0000 Ba
2.2928 2.2928 2.5509 Al
0.0000 2.2928 0.0000 O
2.2928 0.0000 0.0000 O
0.0000 0.0000 2.5509 F
```

Output
* formation energy (no corrections): -830 meV/atom
* VASP energy: -21.602 eV for the cell shown
* DOS(E_F): 0.702 states/eV per atom
* symmetry: P4/mmm (123)
* calculated density: 3.3 g cm⁻³



Entry 5:
# CuTeSe2

An optimized crystal structure of CuTeSe2 (PBE, Alexandria via LeMat-Bulk).

```
CuTeSe2
1.0
3.6502 0.0000 0.0000
0.0000 3.7861 0.0000
0.0000 0.0000 8.7691
Cu Te Se
1 1 2
Cartesian
0.0000 0.0000 0.0000 Cu
1.8251 1.8931 0.0000 Te
0.0000 1.8931 4.3846 Se
1.8251 0.0000 4.3846 Se
```

Output
* formation energy (no corrections): 279 meV/atom
* VASP energy: -13.092 eV for the cell shown
* DOS(E_F): 1.073 states/eV per atom
* symmetry: Pmmm (47)
* calculated density: 4.8 g cm⁻³



Entry 6:
# BiTe3Pd

An optimized crystal structure of BiTe3Pd (PBE, Alexandria via LeMat-Bulk).

```
BiTe3Pd
1.0
6.4940 -2.8278 0.0000
6.4940 2.8278 0.0000
-2.4157 0.0000 8.4039
Bi Te Pd
2 6 2
Cartesian
0.7827 0.0000 2.8451 Bi
9.7895 0.0000 5.5588 Bi
-0.3555 0.0000 8.2183 Te
3.6765 0.0000 3.3564 Te
3.4206 0.0000 6.7883 Te
7.1516 0.0000 1.6156 Te
6.8957 0.0000 5.0475 Te
10.9278 0.0000 0.1856 Te
4.5952 0.0000 0.7657 Pd
5.9771 0.0000 7.6382 Pd
```

Output
* formation energy (no corrections): -177 meV/atom
* VASP energy: -38.766 eV for the cell shown
* energy above the lowest structure with this stoichiometry: 0 meV/atom
* DOS(E_F): 0.281 states/eV per atom
* symmetry: C2/m (12)
* calculated density: 7.5 g cm⁻³